# PBE-GGA La2AgAu, optimized geometry
# Final energy: -52.67 eV for the cell shown
# Energy of formation from the pure elements: -0.393 eV per atom
data_La2AgAu
_chemical_formula_sum 'La6 Ag3 Au3'
_cell_length_a 4.1910
_cell_length_b 4.1910
_cell_length_c 24.2496
_cell_angle_alpha 90.00
_cell_angle_beta 90.00
_cell_angle_gamma 120.00
_space_group_name_H-M_alt 'R -3 m'
_space_group_IT_number 166
_space_group_name_Hall '-R 3 2"'
loop_
_atom_site_label
_atom_site_fract_x
_atom_site_fract_y
_atom_site_fract_z
_atom_site_occupancy
La1 0.0000 0.0000 0.2464 1
Ag1 0.0000 0.0000 0.0000 1
Au1 0.0000 0.0000 0.5000 1